Density functional theory data (PBE-GGA) for AcPm2Te3 after structural relaxation.

abc: 4.4754 4.4754 10.2969
angles: 90.00 90.00 90.00
With the nearest neighbours (Å) after each atom.
Sites, in units of the cell vectors:
Ac 0.0000 0.0000 0.0000  4 Te 3.16
Pm 0.0000 0.5000 0.6189  5 Te 3.14-3.24
Pm 0.5000 0.0000 0.3811  5 Te 3.14-3.24
Te 0.0000 0.5000 0.3140  5 Pm 3.14-3.24
Te 0.5000 0.0000 0.6860  5 Pm 3.14-3.24
Te 0.5000 0.5000 0.0000  4 Ac 3.16

Computed properties:
E_tot   -5.073 eV per atom
Crystal system   tetragonal
E above lowest polymorph   186 meV/atom
Calculated density   7.245 g/cm3
E_form (uncorrected)   -28.45 kcal/mol of atoms